Record 1
Below is a relaxed Rb3Mg5 crystal, with properties calculated at the PBE-GGA level.

```
Rb3Mg5
1.0
10.349 0.000 0.000
0.000 11.414 0.000
0.000 0.000 5.416
Rb Mg
6 10
direct
0.000 0.000 0.000
0.000 0.240 0.500
0.000 0.760 0.500
0.500 0.260 0.500
0.500 0.500 0.000
0.500 0.740 0.500
0.000 0.500 0.000
0.199 0.500 0.500
0.250 0.250 0.000
0.250 0.750 0.000
0.301 0.000 0.500
0.500 0.000 0.000
0.699 0.000 0.500
0.750 0.250 0.000
0.750 0.750 0.000
0.801 0.500 0.500
```

Calculated values
- DFT formation energy (eV per atom) = 0.34
- space group = Cmmm, No. 65
- crystal system = orthorhombic
- DOS at the Fermi energy (states/eV/atom) = 0.666

Record 2
Below is a relaxed La3CoTe crystal, with properties calculated at the PBE-GGA level.

```
La3CoTe
1.0
5.321 0.000 0.000
0.000 5.321 0.000
0.000 0.000 5.321
La Co Te
3 1 1
direct
0.000 0.000 0.500
0.000 0.500 0.000
0.500 0.000 0.000
0.000 0.000 0.000
0.500 0.500 0.500
```

Calculated values
- uncorrected formation energy (meV per atom) = -544
- space group = Pm-3m, No. 221
- crystal system = cubic
- DOS at the Fermi energy (states/eV/atom) = 0.725

Record 3
Below is a relaxed Na2MnCl6 crystal, with properties calculated at the PBE-GGA level.

```
Na2MnCl6
1.0
6.619 0.000 0.000
0.000 6.972 0.000
-6.288 0.000 9.445
Na Mn Cl
4 2 12
direct
0.205 0.090 0.236
0.205 0.410 0.736
0.795 0.590 0.264
0.795 0.910 0.764
0.500 0.000 0.000
0.500 0.500 0.500
0.168 0.179 0.947
0.168 0.321 0.447
0.277 0.724 0.944
0.277 0.776 0.444
0.387 0.028 0.770
0.387 0.472 0.270
0.613 0.528 0.730
0.613 0.972 0.230
0.723 0.224 0.556
0.723 0.276 0.056
0.832 0.679 0.553
0.832 0.821 0.053
```

Calculated values
- uncorrected formation energy (meV per atom) = -1278
- space group = P2_1/c, No. 14
- crystal system = monoclinic

Record 4
Below is a relaxed BaCd2I6 crystal, with properties calculated at the PBE-GGA level.

```
BaCd2I6
1.0
7.816 -7.258 0.000
7.816 7.258 0.000
-1.747 0.000 7.921
Ba Cd I
2 4 12
direct
0.125 0.875 0.750
0.875 0.125 0.250
0.232 0.380 0.716
0.380 0.232 0.216
0.620 0.768 0.784
0.768 0.620 0.284
0.041 0.193 0.659
0.145 0.598 0.916
0.193 0.041 0.159
0.270 0.448 0.404
0.402 0.855 0.584
0.448 0.270 0.904
0.552 0.730 0.096
0.598 0.145 0.416
0.730 0.552 0.596
0.807 0.959 0.841
0.855 0.402 0.084
0.959 0.807 0.341
```

Calculated values
- uncorrected formation energy (meV per atom) = -962
- space group = C2/c, No. 15
- crystal system = monoclinic
- DOS at the Fermi energy (states/eV/atom) = 0.000

Record 5
Below is a relaxed LaGa4PdPt2 crystal, with properties calculated at the PBE-GGA level.

```
LaGa4PdPt2
1.0
2.168 1.252 9.002
-2.168 1.252 9.002
0.000 -2.503 9.002
La Ga Pd Pt
1 4 1 2
direct
0.000 0.000 0.000
0.132 0.132 0.132
0.401 0.401 0.401
0.599 0.599 0.599
0.868 0.868 0.868
0.500 0.500 0.500
0.236 0.236 0.236
0.764 0.764 0.764
```

Calculated values
- DFT formation energy (eV per atom) = -0.73
- space group = R-3m, No. 166
- crystal system = trigonal
- DOS at the Fermi energy (states/eV/atom) = 0.436

Record 6
Below is a relaxed SrAs2P crystal, with properties calculated at the PBE-GGA level.

```
SrAs2P
1.0
3.620 0.000 0.000
0.000 5.374 0.000
0.000 0.000 9.258
Sr As P
2 4 2
direct
0.000 0.000 0.000
0.500 0.500 0.500
0.000 0.000 0.522
0.000 0.500 0.797
0.500 0.000 0.297
0.500 0.500 0.022
0.000 0.500 0.210
0.500 0.000 0.710
```

Calculated values
- DFT formation energy (eV per atom) = -0.23
- space group = Imm2, No. 44
- crystal system = orthorhombic
- DOS at the Fermi energy (states/eV/atom) = 0.506

Record 7
Below is a relaxed AcPr2Zn2 crystal, with properties calculated at the PBE-GGA level.

```
AcPr2Zn2
1.0
4.771 0.000 0.000
0.000 4.586 0.000
-2.368 0.000 13.674
Ac Pr Zn
2 4 4
direct
0.132 0.250 0.268
0.868 0.750 0.732
0.237 0.750 0.473
0.449 0.250 0.894
0.551 0.750 0.106
0.763 0.250 0.527
0.022 0.250 0.041
0.331 0.250 0.662
0.669 0.750 0.338
0.978 0.750 0.959
```

Calculated values
- DFT formation energy (eV per atom) = -0.16
- space group = P2_1/m, No. 11
- crystal system = monoclinic
- DOS at the Fermi energy (states/eV/atom) = 0.997

Record 8
Below is a relaxed CrCoTc2 crystal, with properties calculated at the PBE-GGA level.

```
CrCoTc2
1.0
2.916 0.000 0.000
0.000 2.916 0.000
0.000 0.000 6.168
Cr Co Tc
1 1 2
direct
0.000 0.000 0.000
0.500 0.500 0.786
0.000 0.000 0.529
0.500 0.500 0.244
```

Calculated values
- DFT formation energy (eV per atom) = 0.16
- space group = P4mm, No. 99
- crystal system = tetragonal
- DOS at the Fermi energy (states/eV/atom) = 1.093

Record 9
Below is a relaxed DyZn3Pd3 crystal, with properties calculated at the PBE-GGA level.

```
DyZn3Pd3
1.0
0.000 5.891 5.891
5.891 0.000 5.891
5.891 5.891 0.000
Dy Zn Pd
2 6 6
direct
0.250 0.250 0.250
0.750 0.750 0.750
0.150 0.150 0.850
0.150 0.850 0.150
0.150 0.850 0.850
0.850 0.150 0.150
0.850 0.150 0.850
0.850 0.850 0.150
0.342 0.342 0.658
0.342 0.658 0.342
0.342 0.658 0.658
0.658 0.342 0.342
0.658 0.342 0.658
0.658 0.658 0.342
```

Calculated values
- DFT formation energy (eV per atom) = 0.73
- space group = Fm-3m, No. 225
- crystal system = cubic
- DOS at the Fermi energy (states/eV/atom) = 0.877

Record 10
Below is a relaxed AlBiAu2 crystal, with properties calculated at the PBE-GGA level.

```
AlBiAu2
1.0
6.982 0.000 0.000
0.000 6.982 0.000
0.000 0.000 6.982
Al Bi Au
4 4 8
direct
0.000 0.000 0.000
0.000 0.500 0.500
0.500 0.000 0.500
0.500 0.500 0.000
0.000 0.000 0.500
0.000 0.500 0.000
0.500 0.000 0.000
0.500 0.500 0.500
0.250 0.250 0.250
0.250 0.250 0.750
0.250 0.750 0.250
0.250 0.750 0.750
0.750 0.250 0.250
0.750 0.250 0.750
0.750 0.750 0.250
0.750 0.750 0.750
```

Calculated values
- DFT formation energy (eV per atom) = 0.07
- space group = Fm-3m, No. 225
- crystal system = cubic
- DOS at the Fermi energy (states/eV/atom) = 0.258

Record 11
Below is a relaxed BePbF3 crystal, with properties calculated at the PBE-GGA level.

```
BePbF3
1.0
3.953 0.000 0.000
0.000 3.953 0.000
0.000 0.000 3.953
Be Pb F
1 1 3
direct
0.000 0.000 0.000
0.500 0.500 0.500
0.000 0.000 0.500
0.000 0.500 0.000
0.500 0.000 0.000
```

Calculated values
- uncorrected formation energy (meV per atom) = -1917
- space group = Pm-3m, No. 221
- crystal system = cubic
- DOS at the Fermi energy (states/eV/atom) = 0.473

Record 12
Below is a relaxed PrGe3Au crystal, with properties calculated at the PBE-GGA level.

```
PrGe3Au
1.0
5.929 0.000 0.000
0.000 6.074 0.000
-0.689 0.000 5.915
Pr Ge Au
2 6 2
direct
0.187 0.250 0.170
0.813 0.750 0.830
0.329 0.518 0.684
0.329 0.982 0.684
0.330 0.750 0.068
0.670 0.250 0.932
0.671 0.018 0.316
0.671 0.482 0.316
0.030 0.750 0.358
0.970 0.250 0.642
```

Calculated values
- DFT formation energy (eV per atom) = -0.39
- space group = P2_1/m, No. 11
- crystal system = monoclinic
- DOS at the Fermi energy (states/eV/atom) = 0.423

Record 13
Below is a relaxed CrCuRe2 crystal, with properties calculated at the PBE-GGA level.

```
CrCuRe2
1.0
5.285 0.000 0.000
0.000 8.441 0.000
-0.847 0.000 2.452
Cr Cu Re
2 2 4
direct
0.000 0.000 0.000
0.500 0.500 0.000
0.000 0.500 0.000
0.500 0.000 0.000
0.250 0.250 0.500
0.250 0.750 0.500
0.750 0.250 0.500
0.750 0.750 0.500
```

Calculated values
- DFT formation energy (eV per atom) = 0.29
- space group = C2/m, No. 12
- crystal system = monoclinic
- DOS at the Fermi energy (states/eV/atom) = 0.851

Record 14
Below is a relaxed LiPmPrEr crystal, with properties calculated at the PBE-GGA level.

```
LiPmPrEr
1.0
7.892 0.000 0.000
0.000 7.892 0.000
0.000 0.000 7.892
Li Pm Pr Er
4 4 4 4
direct
0.000 0.000 0.000
0.000 0.500 0.500
0.500 0.000 0.500
0.500 0.500 0.000
0.250 0.250 0.250
0.250 0.750 0.750
0.750 0.250 0.750
0.750 0.750 0.250
0.250 0.250 0.750
0.250 0.750 0.250
0.750 0.250 0.250
0.750 0.750 0.750
0.000 0.000 0.500
0.000 0.500 0.000
0.500 0.000 0.000
0.500 0.500 0.500
```

Calculated values
- DFT formation energy (eV per atom) = 0.15
- space group = F-43m, No. 216
- crystal system = cubic
- DOS at the Fermi energy (states/eV/atom) = 1.223

Record 15
Below is a relaxed Ba4TlCd2 crystal, with properties calculated at the PBE-GGA level.

```
Ba4TlCd2
1.0
3.020 1.744 9.809
-3.020 1.744 9.809
0.000 -3.488 9.809
Ba Tl Cd
4 1 2
direct
0.124 0.124 0.124
0.375 0.375 0.375
0.625 0.625 0.625
0.876 0.876 0.876
0.000 0.000 0.000
0.251 0.251 0.251
0.749 0.749 0.749
```

Calculated values
- DFT formation energy (eV per atom) = -0.28
- space group = R-3m, No. 166
- crystal system = trigonal
- DOS at the Fermi energy (states/eV/atom) = 0.996

Record 16
Below is a relaxed Ac3ZnC crystal, with properties calculated at the PBE-GGA level.

```
Ac3ZnC
1.0
5.429 0.000 0.000
0.000 5.429 0.000
0.000 0.000 5.429
Ac Zn C
3 1 1
direct
0.000 0.000 0.500
0.000 0.500 0.000
0.500 0.000 0.000
0.500 0.500 0.500
0.000 0.000 0.000
```

Calculated values
- DFT formation energy (eV per atom) = 0.10
- space group = Pm-3m, No. 221
- crystal system = cubic
- DOS at the Fermi energy (states/eV/atom) = 0.957

Record 17
Below is a relaxed Ti2AgPt2 crystal, with properties calculated at the PBE-GGA level.

```
Ti2AgPt2
1.0
3.820 0.000 0.000
0.000 3.820 0.000
0.000 0.000 12.510
Ti Ag Pt
4 2 4
direct
0.000 0.000 0.108
0.000 0.000 0.892
0.500 0.500 0.392
0.500 0.500 0.608
0.000 0.000 0.500
0.500 0.500 0.000
0.000 0.500 0.250
0.000 0.500 0.750
0.500 0.000 0.250
0.500 0.000 0.750
```

Calculated values
- DFT formation energy (eV per atom) = -0.27
- space group = I4/mmm, No. 139
- crystal system = tetragonal
- DOS at the Fermi energy (states/eV/atom) = 0.495

Record 18
Below is a relaxed USnRh crystal, with properties calculated at the PBE-GGA level.

```
USnRh
1.0
1.910 1.103 10.428
-1.910 1.103 10.428
0.000 -2.205 10.428
U Sn Rh
2 2 2
direct
0.190 0.190 0.190
0.810 0.810 0.810
0.372 0.372 0.372
0.628 0.628 0.628
0.091 0.091 0.091
0.909 0.909 0.909
```

Calculated values
- DFT formation energy (eV per atom) = -0.18
- space group = R-3m, No. 166
- crystal system = trigonal
- DOS at the Fermi energy (states/eV/atom) = 1.429

Record 19
Below is a relaxed YMgRe2 crystal, with properties calculated at the PBE-GGA level.

```
YMgRe2
1.0
5.701 0.000 0.000
0.000 9.419 0.000
0.000 0.000 2.713
Y Mg Re
2 2 4
direct
0.000 0.000 0.000
0.500 0.500 0.000
0.000 0.500 0.000
0.500 0.000 0.000
0.250 0.250 0.500
0.250 0.750 0.500
0.750 0.250 0.500
0.750 0.750 0.500
```

Calculated values
- DFT formation energy (eV per atom) = 0.57
- space group = Cmmm, No. 65
- crystal system = orthorhombic
- DOS at the Fermi energy (states/eV/atom) = 1.027

Record 20
Below is a relaxed LaSc2Zn2 crystal, with properties calculated at the PBE-GGA level.

```
LaSc2Zn2
1.0
8.061 0.000 0.000
0.000 8.061 0.000
0.000 0.000 3.502
La Sc Zn
2 4 4
direct
0.000 0.000 0.000
0.500 0.500 0.000
0.173 0.327 0.500
0.327 0.827 0.500
0.673 0.173 0.500
0.827 0.673 0.500
0.120 0.620 0.000
0.380 0.120 0.000
0.620 0.880 0.000
0.880 0.380 0.000
```

Calculated values
- DFT formation energy (eV per atom) = -0.17
- space group = P4/mbm, No. 127
- crystal system = tetragonal
- DOS at the Fermi energy (states/eV/atom) = 1.338